Below is an optimized crystal structure of AcPr2SmTl4, with properties calculated at the PBE level.

POSCAR file:
```
AcPr2SmTl4
1.0
2.808 1.621 9.187
-2.808 1.621 9.187
0.000 -3.242 9.187
Ac Pr Sm Tl
1 2 1 4
Direct
0.000 0.000 0.000
0.249 0.249 0.249
0.751 0.751 0.751
0.500 0.500 0.500
0.128 0.128 0.128
0.378 0.378 0.378
0.622 0.622 0.622
0.872 0.872 0.872
```

Its crystal system is trigonal. The formation energy from the elements is -0.3601 eV per atom. As for the symmetry: R-3m. The raw total energy is -3.84 eV/atom.